HfMnF2 | PBE+U | optimized geometry

Unit cell a=4.333 b=4.333 c=4.333 alpha=60.00 beta=60.00 gamma=60.00
Last column: magnetic moment on the atom in μB.
Element x y z (fractional)
F  0.250  0.250  0.250  0.03
F  0.750  0.750  0.750  0.03
Mn  0.000  0.000  0.000  4.31
Hf  0.500  0.500  0.500  -1.07

## Properties
- size of the total moment (μB/cell) = 3.04
- energy relative to the lowest polymorph listed for this composition (meV per atom) = 755
- total energy (eV/cell) = -24.61